Record 1
Density functional theory data (PBEsol) for a relaxed LiZnHg2 crystal.

Values from the calculation:
formation energy = -173.3 meV per atom
calculated volume = 72.1 Å³ per cell
symmetry = No. 99
crystal system = tetragonal

Cell and atoms, written as extended XYZ:
```
4
Lattice="3.500 0.000 0.000 0.000 3.500 0.000 0.000 0.000 5.891" Properties=species:S:1:pos:R:3 pbc="T T T"
Zn 1.750 1.750 4.397
Hg 0.000 0.000 5.718
Hg 1.750 1.750 1.679
Li 0.000 0.000 2.934
```

=====

Record 2
Density functional theory data (PBEsol) for a relaxed CdPbSeN2 crystal.

Values from the calculation:
calculated volume = 102.2 Å³ per cell
symmetry = No. 123
crystal system = tetragonal
ΔE_f (raw) = 1335 meV per atom

Cell and atoms, written as extended XYZ:
```
5
Lattice="4.336 0.000 0.000 0.000 4.336 0.000 0.000 0.000 5.435" Properties=species:S:1:pos:R:3 pbc="T T T"
Pb 2.168 2.168 2.718
N 0.000 2.168 0.000
N 2.168 0.000 0.000
Se 0.000 0.000 2.718
Cd 0.000 0.000 0.000
```

=====

Number 1: raw total energy -5.38 eV per cell, M_tot 0.0000 μB per atom. Number 2: raw total energy -19.42 eV per cell, M_tot 0.6866 μB per atom.